(1)
Density functional theory data (PBE-GGA) for InHgSe after structural relaxation.

Results
Spin magnetization, μB/cell: 0.0
Distance to the lowest polymorph of the same formula, meV/atom: 251
Crystal system: orthorhombic

Cell lengths 4.516, 4.539, 16.845 Å; angles 90.00, 90.00, 90.00 degrees
Space group Fmm2 (No. 42)
Asymmetric unit:
In1 0.000 0.000 0.000 (multiplicity 4)
Hg1 0.000 0.000 0.699 (multiplicity 4)
Se1 0.000 0.000 0.377 (multiplicity 4)

(2)
Density functional theory data (PBE-GGA) for Ac5Tl2Au2 after structural relaxation.

Results
Spin magnetization, μB/cell: 0.0
Formation enthalpy at 0 K, meV/atom: -412
Crystal system: orthorhombic

Cell lengths 18.444, 9.872, 7.094 Å; angles 90.00, 90.00, 90.00 degrees
Space group Ima2 (No. 46)
Asymmetric unit:
Ac1 0.064 0.211 0.000 (multiplicity 8)
Ac2 0.146 0.629 0.288 (multiplicity 8)
Ac3 0.250 0.062 0.312 (multiplicity 4)
Tl1 0.077 0.561 0.801 (multiplicity 8)
Au1 0.000 0.000 0.684 (multiplicity 4)
Au2 0.250 0.127 0.811 (multiplicity 4)

(3)
Density functional theory data (PBE-GGA) for Nb2CdSi2 after structural relaxation.

Results
Spin magnetization, μB/cell: 0.0
Distance to the lowest polymorph of the same formula, meV/atom: 178
Crystal system: tetragonal

Cell lengths 7.477, 7.477, 3.173 Å; angles 90.00, 90.00, 90.00 degrees
Space group P4/mbm (No. 127)
Asymmetric unit:
Nb1 0.130 0.370 0.000 (multiplicity 4)
Cd1 0.000 0.000 0.000 (multiplicity 2)
Si1 0.162 0.662 0.500 (multiplicity 4)

(4)
Density functional theory data (PBE-GGA) for La4PrNd2Tm after structural relaxation.

Results
Spin magnetization, μB/cell: 0.0
Formation enthalpy at 0 K, meV/atom: 91
Crystal system: monoclinic

Cell lengths 6.101, 6.105, 7.647 Å; angles 90.00, 90.01, 90.00 degrees
Space group P2/m (No. 10)
Asymmetric unit:
La1 0.002 0.000 0.262 (multiplicity 2)
La2 0.497 0.500 0.259 (multiplicity 2)
Pr1 0.500 0.000 0.000 (multiplicity 1)
Nd1 0.000 0.500 0.000 (multiplicity 1)
Nd2 0.500 0.000 0.500 (multiplicity 1)
Tm1 0.000 0.500 0.500 (multiplicity 1)